(1)
Below is a relaxed structure of Pa4CoSe2S, with properties calculated at the PBE level.

```
Pa4CoSe2S
1.0
6.962 0.000 0.000
0.000 3.795 0.000
-2.236 0.000 6.805
Pa Co Se S
4 1 2 1
Cartesian
1.123 0.000 1.447
0.067 1.897 5.250
4.659 1.897 1.555
3.603 0.000 5.358
0.000 1.897 0.000
-1.118 0.000 3.402
2.363 1.897 3.402
3.481 0.000 0.000
```

Summary:
Crystal system: monoclinic
Space-group type: P2/m (10)

(2)
Below is a relaxed structure of SrPaCoS4, with properties calculated at the PBE level.

```
SrPaCoS4
1.0
6.506 0.000 0.000
0.000 5.756 0.000
-2.271 0.000 7.841
Sr Pa Co S
2 2 2 8
Cartesian
0.544 1.439 3.459
3.691 4.317 4.382
-0.572 1.439 7.401
4.807 4.317 0.440
1.342 4.317 1.269
2.893 1.439 6.572
-0.348 4.317 2.757
-1.582 4.317 7.058
1.400 2.923 6.067
1.400 5.710 6.067
2.835 0.045 1.774
2.835 2.832 1.774
5.817 1.439 0.783
4.583 1.439 5.084
```

Summary:
Crystal system: monoclinic
Space-group type: P2_1/m (11)

(3)
Below is a relaxed structure of TbPaCoS4, with properties calculated at the PBE level.

```
TbPaCoS4
1.0
6.325 0.000 0.000
0.000 5.691 0.000
-2.067 0.000 7.374
Tb Pa Co S
2 2 2 8
Cartesian
0.600 1.423 3.222
3.658 4.268 4.151
-0.350 1.423 6.954
4.608 4.268 0.420
1.312 4.268 1.188
2.946 1.423 6.185
-0.317 4.268 2.759
-1.377 4.268 6.534
1.528 2.890 5.494
1.528 5.646 5.494
2.730 0.044 1.880
2.730 2.801 1.880
5.635 1.423 0.840
4.575 1.423 4.615
```

Summary:
Crystal system: monoclinic
Space-group type: P2_1/m (11)

no.,formation energy (no corrections) (eV/atom)
1,-1.078
2,-1.393
3,-1.425